(i)
Density functional theory data (SCAN) for a crystal of KLaOs2 relaxed with PBEsol.

Cell: 3.961 3.961 4.941 Å, 90.00 90.00 90.00°
Atoms (fractional coordinates):
K 0.000 0.000 0.000
La 0.500 0.500 0.000
Os 0.000 0.500 0.500
Os 0.500 0.000 0.500

Summary:
As for the density of states at the Fermi level: 3.92 states/eV/cell. The total magnetic moment comes out at 1.19 μB/cell. As for the space group: No. 123.

=====

(ii)
Density functional theory data (SCAN) for a crystal of KLaOs2 relaxed with PBEsol.

Cell: 5.414 5.414 3.210 Å, 90.00 90.00 121.57°
Atoms (fractional coordinates):
K 0.000 0.000 0.000
La 0.500 0.500 0.000
Os 0.000 0.500 0.500
Os 0.500 0.000 0.500

Summary:
As for the density of states at the Fermi level: 2.08 states/eV/cell. The total magnetic moment comes out at 0.00 μB/cell. As for the space group: No. 65.

=====

Which structure wins on stability? (ii) wins.

=====

(i)
Density functional theory data (SCAN) for a crystal of KLaPb2 relaxed with PBEsol.

Cell: 3.644 4.829 7.647 Å, 90.00 90.00 90.00°
Atoms (fractional coordinates):
K 0.000 0.000 0.000
La 0.000 0.000 0.500
Pb 0.500 0.500 0.293
Pb 0.500 0.500 0.707

Summary:
As for the density of states at the Fermi level: 1.82 states/eV/cell. The total magnetic moment comes out at 0.00 μB/cell. As for the space group: No. 47.

=====

(ii)
Density functional theory data (SCAN) for a crystal of KLaPb2 relaxed with PBEsol.

Cell: 3.535 3.535 10.171 Å, 90.00 90.00 90.00°
Atoms (fractional coordinates):
K 0.000 0.000 0.000
La 0.000 0.000 0.500
Pb 0.500 0.500 0.265
Pb 0.500 0.500 0.735

Summary:
As for the density of states at the Fermi level: 1.69 states/eV/cell. The total magnetic moment comes out at 0.00 μB/cell. As for the space group: No. 123.

=====

Which structure wins on stability? (i) wins.